Entry from Alexandria: a relaxed LaZnGePt3 crystal (GGA-PBE).

Lattice parameters (Å, degrees): 5.728 6.941 7.000 119.72 90.00 90.00
Atoms (fractional coordinates):
La 0.750 0.287 0.573
La 0.250 0.713 0.427
Zn 0.250 0.967 0.934
Zn 0.750 0.033 0.066
Ge 0.250 0.378 0.757
Ge 0.750 0.622 0.243
Pt 0.250 0.180 0.360
Pt 0.000 0.293 0.000
Pt 0.500 0.707 0.000
Pt 0.500 0.293 0.000
Pt 0.000 0.707 0.000
Pt 0.750 0.820 0.640

uncorrected energy	-5.51	eV per atom
energy relative to the elements	-688	meV per atom
density of states at the Fermi level	3.450	states/eV/cell
magnetic moment	0.000	μB per cell